CuPt5: optimized geometry, PBE.

Cell: 2.7858 2.7858 11.6892 Å, 90.00 90.00 90.00°
Sites, in units of the cell vectors:
Cu 0.0000 0.0000 0.0000
Pt 0.0000 0.0000 0.3278
Pt 0.0000 0.0000 0.6722
Pt 0.5000 0.5000 0.1545
Pt 0.5000 0.5000 0.5000
Pt 0.5000 0.5000 0.8455

Computed properties:
**Spin magnetization**: 0.0 μB/f.u.
**Uncorrected energy**: -0.212 Ha/atom
**Symmetry**: P4/mmm (123)
**Formation enthalpy at 0 K**: -6.1 kJ per mole of atoms